(1)
{
  "formula": "CuIrRh2",
  "functional": "PBEsol",
  "state": "relaxed",
  "lattice": [[2.316, -1.337, 0.000], [2.316, 1.337, 0.000], [-1.532, 0.000, 8.547]],
  "species": ["Cu", "Ir", "Rh", "Rh"],
  "frac_coords": [[0.000, 0.000, 0.000], [0.250, 0.250, 0.752], [0.500, 0.500, 0.498], [0.749, 0.749, 0.245]]
}

---

(2)
{
  "formula": "CuIrRh2",
  "functional": "PBEsol",
  "state": "relaxed",
  "lattice": [[2.675, 0.000, 0.000], [0.000, 3.732, 0.000], [0.000, 0.000, 5.285]],
  "species": ["Cu", "Ir", "Rh", "Rh"],
  "frac_coords": [[0.000, 0.000, 0.000], [0.500, 0.500, 0.250], [0.000, 0.000, 0.499], [0.500, 0.500, 0.756]]
}

---

Calculated E, -7.567, -7.538 eV/atom (same order as the records).
Calculated ΔH_f (0 K), 41, 70 meV per atom (same order as the records).
Calculated excess energy over the best structure of this formula in the dataset, 27, 56 meV/atom (same order as the records).